No. 1
Here is CaMg2Mo at its PBEsol-relaxed geometry from Alexandria. Energies are from SCAN.

Cell: 6.126 10.118 2.844 Å, 90.00 109.17 90.00°
Space group C2/m (No. 12)
Symmetry-distinct sites (fractional):
Ca: 0.000 0.000 0.000 [2 per cell]
Mg: 0.250 0.250 0.500 [4 per cell]
Mo: 0.000 0.500 0.000 [2 per cell]

Properties
- Formation energy from the elements: 573 meV per atom
- N(E_F): 3.3 states/eV/f.u.
- Crystal system: monoclinic

No. 2
Here is CaMgMo at its PBEsol-relaxed geometry from Alexandria. Energies are from SCAN.

Cell: 6.869 6.869 6.869 Å, 90.00 90.00 90.00°
Space group F-43m (No. 216)
Symmetry-distinct sites (fractional):
Ca: 0.000 0.000 0.000 [4 per cell]
Mg: 0.250 0.250 0.750 [4 per cell]
Mo: 0.000 0.000 0.500 [4 per cell]

Properties
- Formation energy from the elements: 1179 meV per atom
- N(E_F): 2.6 states/eV/f.u.
- Crystal system: cubic

No. 3
Here is CaMg2MoPd at its PBEsol-relaxed geometry from Alexandria. Energies are from SCAN.

Cell: 5.224 5.224 4.636 Å, 90.00 90.00 90.00°
Space group P4/mmm (No. 123)
Symmetry-distinct sites (fractional):
Ca: 0.000 0.000 0.000 [1 per cell]
Mg: 0.000 0.500 0.000 [2 per cell]
Mo: 0.500 0.500 0.500 [1 per cell]
Pd: 0.000 0.000 0.500 [1 per cell]

Properties
- Formation energy from the elements: 1501 meV per atom
- N(E_F): 2.9 states/eV/f.u.
- Crystal system: tetragonal

What is the formation energy from the elements in the third record?
1501 meV per atom

The lowest formation energy from the elements belongs to which entry?
CaMg2Mo

The highest N(E_F) belongs to which entry?
CaMg2Mo

Copy entry 2 word for word.
Here is CaMgMo at its PBEsol-relaxed geometry from Alexandria. Energies are from SCAN.

Cell: 6.869 6.869 6.869 Å, 90.00 90.00 90.00°
Space group F-43m (No. 216)
Symmetry-distinct sites (fractional):
Ca: 0.000 0.000 0.000 [4 per cell]
Mg: 0.250 0.250 0.750 [4 per cell]
Mo: 0.000 0.000 0.500 [4 per cell]

Properties
- Formation energy from the elements: 1179 meV per atom
- N(E_F): 2.6 states/eV/f.u.
- Crystal system: cubic